Entry 1:
DFT (PBE) results for La4Pr4Sm3 after structural relaxation.

a = 10.976 Å, b = 5.898 Å, c = 12.273 Å
α = 90.00°, β = 90.00°, γ = 90.00°
Space group Amm2 (No. 38)
Inequivalent atoms, fractional coordinates:
La1 0.000 0.000 0.000 (multiplicity 2)
La2 0.202 0.000 0.806 (multiplicity 4)
La3 0.500 0.000 0.933 (multiplicity 2)
Pr1 0.000 0.000 0.592 (multiplicity 2)
Pr2 0.302 0.000 0.152 (multiplicity 4)
Pr3 0.500 0.000 0.653 (multiplicity 2)
Sm1 0.000 0.000 0.297 (multiplicity 2)
Sm2 0.294 0.000 0.453 (multiplicity 4)

Properties
Magnetic moment   0.0 μB/cell
V   36.11 Å³/atom
Total energy   -4.69 eV/atom
E above lowest polymorph   9.9 meV per atom
Energy relative to the elements   135 kJ/mol of formula units
N(E_F)   39.79 states/eV per cell
Crystal system   orthorhombic

***

Entry 2:
DFT (PBE) results for CeSm2Er3Te6 after structural relaxation.

a = 19.253 Å, b = 4.341 Å, c = 8.886 Å
α = 90.00°, β = 104.80°, γ = 90.00°
Space group C2/m (No. 12)
Inequivalent atoms, fractional coordinates:
Ce1 0.000 0.000 0.000 (multiplicity 2)
Sm1 0.165 0.500 0.331 (multiplicity 4)
Er1 0.000 0.000 0.500 (multiplicity 2)
Er2 0.167 0.500 0.834 (multiplicity 4)
Te1 0.003 0.500 0.741 (multiplicity 4)
Te2 0.165 0.000 0.589 (multiplicity 4)
Te3 0.170 0.000 0.078 (multiplicity 4)

Properties
Magnetic moment   2.7 μB/cell
V   29.92 Å³/atom
Total energy   -5.30 eV/atom
Raw formation energy   -1.303 eV/atom
N(E_F)   23.70 states/eV per cell
Crystal system   monoclinic

***

Entry 3:
DFT (PBE) results for Rb2MgPPd after structural relaxation.

a = 6.715 Å, b = 6.715 Å, c = 4.817 Å
α = 90.00°, β = 90.00°, γ = 90.00°
Space group P4/mmm (No. 123)
Inequivalent atoms, fractional coordinates:
Rb1 0.000 0.500 0.000 (multiplicity 2)
Mg1 0.000 0.000 0.000 (multiplicity 1)
P1 0.500 0.500 0.500 (multiplicity 1)
Pd1 0.000 0.000 0.500 (multiplicity 1)

Properties
Magnetic moment   1.7 μB/cell
V   43.44 Å³/atom
Total energy   -2.28 eV/atom
Energy relative to the elements   264 kJ/mol of formula units
N(E_F)   3.71 states/eV per cell
Crystal system   tetragonal

***

Entry 4:
DFT (PBE) results for Sc5Hg3 after structural relaxation.

a = 6.260 Å, b = 12.260 Å, c = 4.711 Å
α = 90.00°, β = 90.00°, γ = 90.00°
Space group Pbam (No. 55)
Inequivalent atoms, fractional coordinates:
Sc1 0.000 0.000 0.000 (multiplicity 2)
Sc2 0.098 0.269 0.000 (multiplicity 4)
Sc3 0.190 0.612 0.500 (multiplicity 4)
Hg1 0.000 0.500 0.000 (multiplicity 2)
Hg2 0.153 0.857 0.500 (multiplicity 4)

Properties
Magnetic moment   0.0 μB/cell
V   22.60 Å³/atom
Total energy   -4.38 eV/atom
E above lowest polymorph   0.0 meV per atom
Energy relative to the elements   -241 kJ/mol of formula units
N(E_F)   20.57 states/eV per cell
Crystal system   orthorhombic

***

Entry 5:
DFT (PBE) results for Th2Zn2SnIr5 after structural relaxation.

a = 9.771 Å, b = 9.771 Å, c = 3.803 Å
α = 90.00°, β = 90.00°, γ = 90.00°
Space group P4/mbm (No. 127)
Inequivalent atoms, fractional coordinates:
Th1 0.176 0.324 0.000 (multiplicity 4)
Zn1 0.120 0.620 0.000 (multiplicity 4)
Sn1 0.000 0.000 0.000 (multiplicity 2)
Ir1 0.000 0.500 0.500 (multiplicity 2)
Ir2 0.070 0.791 0.500 (multiplicity 8)

Properties
Magnetic moment   0.0 μB/cell
V   18.15 Å³/atom
Total energy   -7.13 eV/atom
Energy relative to the elements   -544 kJ/mol of formula units
N(E_F)   5.52 states/eV per cell
Crystal system   tetragonal

***

Entry 6:
DFT (PBE) results for YTmIn after structural relaxation.

a = 3.523 Å, b = 3.523 Å, c = 13.645 Å
α = 90.00°, β = 90.00°, γ = 90.00°
Space group I4mm (No. 107)
Inequivalent atoms, fractional coordinates:
Y1 0.000 0.000 0.000 (multiplicity 2)
Tm1 0.000 0.000 0.312 (multiplicity 2)
In1 0.000 0.000 0.658 (multiplicity 2)

Properties
Magnetic moment   0.0 μB/cell
V   28.22 Å³/atom
Total energy   -4.88 eV/atom
E above lowest polymorph   0.0 meV per atom
Energy relative to the elements   -94 kJ/mol of formula units
N(E_F)   6.50 states/eV per cell
Crystal system   tetragonal

***

Entry 7:
DFT (PBE) results for Cu4Pd3Pt after structural relaxation.

a = 20.151 Å, b = 2.707 Å, c = 4.544 Å
α = 90.00°, β = 93.46°, γ = 90.00°
Space group C2/m (No. 12)
Inequivalent atoms, fractional coordinates:
Cu1 0.104 0.000 0.387 (multiplicity 4)
Cu2 0.204 0.500 0.381 (multiplicity 4)
Pd1 0.000 0.000 0.000 (multiplicity 2)
Pd2 0.185 0.000 0.885 (multiplicity 4)
Pt1 0.000 0.500 0.500 (multiplicity 2)

Properties
Magnetic moment   0.0 μB/cell
V   15.47 Å³/atom
Total energy   -4.63 eV/atom
E above lowest polymorph   232.0 meV per atom
Energy relative to the elements   92 kJ/mol of formula units
N(E_F)   8.40 states/eV per cell
Crystal system   monoclinic

***

Entry 8:
DFT (PBE) results for Pm4TlPb3 after structural relaxation.

a = 7.183 Å, b = 7.259 Å, c = 9.737 Å
α = 90.00°, β = 111.63°, γ = 90.00°
Space group C2/m (No. 12)
Inequivalent atoms, fractional coordinates:
Pm1 0.126 0.250 0.251 (multiplicity 8)
Tl1 0.000 0.000 0.500 (multiplicity 2)
Pb1 0.000 0.500 0.500 (multiplicity 2)
Pb2 0.250 0.000 0.000 (multiplicity 4)

Properties
Magnetic moment   0.0 μB/cell
V   29.50 Å³/atom
Total energy   -4.54 eV/atom
E above lowest polymorph   35.5 meV per atom
Energy relative to the elements   -369 kJ/mol of formula units
N(E_F)   14.75 states/eV per cell
Crystal system   monoclinic

***

Entry 9:
DFT (PBE) results for KMn2Br6 after structural relaxation.

a = 12.317 Å, b = 5.747 Å, c = 10.043 Å
α = 90.00°, β = 118.23°, γ = 90.00°
Space group C2/m (No. 12)
Inequivalent atoms, fractional coordinates:
K1 0.000 0.000 0.000 (multiplicity 2)
Mn1 0.180 0.000 0.579 (multiplicity 4)
Br1 0.021 0.000 0.676 (multiplicity 4)
Br2 0.155 0.500 0.159 (multiplicity 4)
Br3 0.193 0.500 0.560 (multiplicity 4)

Properties
Magnetic moment   18.0 μB/cell
V   34.80 Å³/atom
Total energy   -4.20 eV/atom
Raw formation energy   -0.924 eV/atom
E above lowest polymorph   19.7 meV per atom
N(E_F)   5.33 states/eV per cell
Crystal system   monoclinic

***

Entry 10:
DFT (PBE) results for ScTc2Ru after structural relaxation.

a = 7.366 Å, b = 7.366 Å, c = 5.082 Å
α = 90.00°, β = 90.00°, γ = 90.00°
Space group I-42d (No. 122)
Inequivalent atoms, fractional coordinates:
Sc1 0.000 0.000 0.000 (multiplicity 4)
Tc1 0.214 0.250 0.625 (multiplicity 8)
Ru1 0.000 0.000 0.500 (multiplicity 4)

Properties
Magnetic moment   0.0 μB/cell
V   17.23 Å³/atom
Total energy   -8.69 eV/atom
E above lowest polymorph   510.9 meV per atom
Energy relative to the elements   152 kJ/mol of formula units
N(E_F)   15.24 states/eV per cell
Crystal system   tetragonal

***

Entry 11:
DFT (PBE) results for PmUTc4 after structural relaxation.

a = 7.637 Å, b = 7.637 Å, c = 7.637 Å
α = 90.00°, β = 90.00°, γ = 90.00°
Space group F-43m (No. 216)
Inequivalent atoms, fractional coordinates:
Pm1 0.000 0.000 0.000 (multiplicity 4)
U1 0.250 0.250 0.250 (multiplicity 4)
Tc1 0.125 0.125 0.625 (multiplicity 16)

Properties
Magnetic moment   6.9 μB/cell
V   18.56 Å³/atom
Total energy   -9.49 eV/atom
Energy relative to the elements   57 kJ/mol of formula units
N(E_F)   58.17 states/eV per cell
Crystal system   cubic

***

Entry 12:
DFT (PBE) results for LiSm4Te4 after structural relaxation.

a = 9.153 Å, b = 9.153 Å, c = 6.208 Å
α = 90.00°, β = 90.00°, γ = 90.00°
Space group P4_2/nmc (No. 137, origin choice 2)
Inequivalent atoms, fractional coordinates:
Li1 0.250 0.750 0.250 (multiplicity 2)
Sm1 0.047 0.250 0.005 (multiplicity 8)
Te1 0.027 0.750 0.503 (multiplicity 8)

Properties
Magnetic moment   0.0 μB/cell
V   28.89 Å³/atom
Total energy   -4.87 eV/atom
Raw formation energy   -1.166 eV/atom
N(E_F)   13.18 states/eV per cell
Crystal system   tetragonal

***

Entry 13:
DFT (PBE) results for Sr6Pd3Pt after structural relaxation.

a = 11.410 Å, b = 4.356 Å, c = 14.116 Å
α = 90.00°, β = 110.85°, γ = 90.00°
Space group P2_1/m (No. 11)
Inequivalent atoms, fractional coordinates:
Sr1 0.010 0.250 0.386 (multiplicity 2)
Sr2 0.067 0.250 0.909 (multiplicity 2)
Sr3 0.256 0.750 0.324 (multiplicity 2)
Sr4 0.344 0.750 0.102 (multiplicity 2)
Sr5 0.351 0.750 0.807 (multiplicity 2)
Sr6 0.392 0.250 0.583 (multiplicity 2)
Pd1 0.153 0.250 0.154 (multiplicity 2)
Pd2 0.188 0.750 0.517 (multiplicity 2)
Pd3 0.414 0.250 0.970 (multiplicity 2)
Pt1 0.422 0.250 0.277 (multiplicity 2)

Properties
Magnetic moment   0.0 μB/cell
V   32.78 Å³/atom
Total energy   -3.71 eV/atom
Energy relative to the elements   -519 kJ/mol of formula units
N(E_F)   8.01 states/eV per cell
Crystal system   monoclinic

***

Entry 14:
DFT (PBE) results for SmLuGaAu after structural relaxation.

a = 7.221 Å, b = 7.221 Å, c = 7.221 Å
α = 90.00°, β = 90.00°, γ = 90.00°
Space group F-43m (No. 216)
Inequivalent atoms, fractional coordinates:
Sm1 0.000 0.000 0.000 (multiplicity 4)
Lu1 0.000 0.000 0.500 (multiplicity 4)
Ga1 0.250 0.250 0.750 (multiplicity 4)
Au1 0.250 0.250 0.250 (multiplicity 4)

Properties
Magnetic moment   0.0 μB/cell
V   23.53 Å³/atom
Total energy   -4.56 eV/atom
Energy relative to the elements   -260 kJ/mol of formula units
N(E_F)   11.07 states/eV per cell
Crystal system   cubic

***

Entry 15:
DFT (PBE) results for HfRe2 after structural relaxation.

a = 7.464 Å, b = 7.464 Å, c = 7.464 Å
α = 90.00°, β = 90.00°, γ = 90.00°
Space group Fd-3m (No. 227, origin choice 2)
Inequivalent atoms, fractional coordinates:
Hf1 0.125 0.125 0.125 (multiplicity 8)
Re1 0.000 0.000 0.500 (multiplicity 16)

Properties
Magnetic moment   0.0 μB/cell
V   17.33 Å³/atom
Total energy   -11.96 eV/atom
Energy relative to the elements   -100 kJ/mol of formula units
N(E_F)   31.01 states/eV per cell
Crystal system   cubic

***

Entry 16:
DFT (PBE) results for Zr2TlTe after structural relaxation.

a = 7.339 Å, b = 7.339 Å, c = 7.339 Å
α = 90.00°, β = 90.00°, γ = 90.00°
Space group F-43m (No. 216)
Inequivalent atoms, fractional coordinates:
Zr1 0.000 0.000 0.000 (multiplicity 4)
Zr2 0.250 0.250 0.250 (multiplicity 4)
Tl1 0.250 0.250 0.750 (multiplicity 4)
Te1 0.000 0.000 0.500 (multiplicity 4)

Properties
Magnetic moment   10.2 μB/cell
V   24.70 Å³/atom
Total energy   -5.44 eV/atom
Raw formation energy   0.207 eV/atom
E above lowest polymorph   557.2 meV per atom
N(E_F)   16.82 states/eV per cell
Crystal system   cubic

***

Entry 17:
DFT (PBE) results for Sr2FeOs after structural relaxation.

a = 3.884 Å, b = 3.957 Å, c = 6.366 Å
α = 90.00°, β = 90.00°, γ = 90.00°
Space group Pmmm (No. 47)
Inequivalent atoms, fractional coordinates:
Sr1 0.000 0.000 0.242 (multiplicity 2)
Fe1 0.500 0.500 0.500 (multiplicity 1)
Os1 0.500 0.500 0.000 (multiplicity 1)

Properties
Magnetic moment   3.2 μB/cell
V   24.46 Å³/atom
Total energy   -4.75 eV/atom
E above lowest polymorph   795.8 meV per atom
Energy relative to the elements   392 kJ/mol of formula units
N(E_F)   5.37 states/eV per cell
Crystal system   orthorhombic

***

Entry 18:
DFT (PBE) results for PrY4Tm8 after structural relaxation.

a = 7.2845 Å, b = 7.2845 Å, c = 26.7061 Å
α = 90.00°, β = 90.00°, γ = 120.00°
Space group R-3m (No. 166, hexagonal axes)
Inequivalent atoms, fractional coordinates:
Pr1 0.0000 0.0000 0.0000 (multiplicity 3)
Y1 0.0000 0.0000 0.5000 (multiplicity 3)
Y2 0.0000 0.5000 0.5000 (multiplicity 9)
Tm1 0.0000 0.0000 0.2811 (multiplicity 6)
Tm2 0.0406 0.5203 0.2697 (multiplicity 18)

Properties
Magnetic moment   0.0 μB/cell
V   31.47 Å³/atom
Total energy   -4.90 eV/atom
Energy relative to the elements   260 kJ/mol of formula units
N(E_F)   52.32 states/eV per cell
Crystal system   trigonal

***

Entry 19:
DFT (PBE) results for P2Rh after structural relaxation.

a = 9.953 Å, b = 3.742 Å, c = 5.458 Å
α = 90.00°, β = 94.88°, γ = 90.00°
Space group Cm (No. 8)
Inequivalent atoms, fractional coordinates:
P1 0.000 0.000 0.000 (multiplicity 2)
P2 0.007 0.000 0.408 (multiplicity 2)
P3 0.203 0.000 0.606 (multiplicity 2)
P4 0.285 0.500 0.098 (multiplicity 2)
Rh1 0.108 0.500 0.810 (multiplicity 2)
Rh2 0.365 0.000 0.342 (multiplicity 2)

Properties
Magnetic moment   0.0 μB/cell
V   16.88 Å³/atom
Total energy   -6.40 eV/atom
Energy relative to the elements   -100 kJ/mol of formula units
N(E_F)   3.51 states/eV per cell
Crystal system   monoclinic

***

Entry 20:
DFT (PBE) results for Ti4CoW2 after structural relaxation.

a = 4.375 Å, b = 4.375 Å, c = 12.979 Å
α = 90.00°, β = 90.00°, γ = 90.00°
Space group I4/mmm (No. 139)
Inequivalent atoms, fractional coordinates:
Ti1 0.000 0.000 0.185 (multiplicity 4)
Ti2 0.000 0.500 0.000 (multiplicity 4)
Co1 0.000 0.000 0.000 (multiplicity 2)
W1 0.000 0.000 0.377 (multiplicity 4)

Properties
Magnetic moment   0.0 μB/cell
V   17.74 Å³/atom
Total energy   -8.49 eV/atom
Energy relative to the elements   501 kJ/mol of formula units
N(E_F)   20.16 states/eV per cell
Crystal system   tetragonal